(1)
Compound: Zr2TaAl
Source: Alexandria
Functional: meta-GGA SCAN
Structure: PBEsol geometry Values from VASP.

Results
Crystal system: orthorhombic
Formation enthalpy at 0 K in eV per atom: -0.189

Geometry as Quantum ESPRESSO input:
```
&SYSTEM
  ibrav = 0, nat = 4, ntyp = 3
/
ATOMIC_SPECIES
Al 26.98 Al.upf
Zr 91.22 Zr.upf
Ta 180.95 Ta.upf
ATOMIC_POSITIONS crystal
Al 0.500 0.500 0.000
Zr 0.000 0.000 0.755
Zr 0.000 0.000 0.245
Ta 0.500 0.500 0.500
CELL_PARAMETERS angstrom
-2.869 0.945 -0.922
1.042 -0.330 -3.581
-2.036 -6.202 -0.020
```


(2)
Compound: MgTc
Source: Alexandria
Functional: meta-GGA SCAN
Structure: PBEsol geometry Values from VASP.

Results
Relative energy among the computed polymorphs in meV per atom: 164
Crystal system: trigonal
Formation enthalpy at 0 K in eV per atom: 0.098

Geometry as Quantum ESPRESSO input:
```
&SYSTEM
  ibrav = 0, nat = 4, ntyp = 2
/
ATOMIC_SPECIES
Tc 98.00 Tc.upf
Mg 24.30 Mg.upf
ATOMIC_POSITIONS crystal
Tc 0.667 0.333 0.396
Tc 0.333 0.667 0.604
Mg 0.333 0.667 0.146
Mg 0.667 0.333 0.854
CELL_PARAMETERS angstrom
2.847 0.000 0.000
-1.424 2.466 0.000
0.000 0.000 9.340
```


(3)
Compound: MnZnCo2
Source: Alexandria
Functional: meta-GGA SCAN
Structure: PBEsol geometry Values from VASP.

Results
Crystal system: orthorhombic
Formation enthalpy at 0 K in eV per atom: -0.001

Geometry as Quantum ESPRESSO input:
```
&SYSTEM
  ibrav = 0, nat = 4, ntyp = 3
/
ATOMIC_SPECIES
Mn 54.94 Mn.upf
Co 58.93 Co.upf
Zn 65.41 Zn.upf
ATOMIC_POSITIONS crystal
Mn 0.500 0.500 0.500
Co 0.000 0.000 0.260
Co 0.000 0.000 0.740
Zn 0.500 0.500 0.000
CELL_PARAMETERS angstrom
2.457 -0.038 0.000
-0.848 2.306 0.000
0.000 0.000 7.963
```


(4)
Compound: TaTiMo2
Source: Alexandria
Functional: meta-GGA SCAN
Structure: PBEsol geometry Values from VASP.

Results
Crystal system: cubic
Formation enthalpy at 0 K in eV per atom: -0.130

Geometry as Quantum ESPRESSO input:
```
&SYSTEM
  ibrav = 0, nat = 4, ntyp = 3
/
ATOMIC_SPECIES
Ti 47.87 Ti.upf
Mo 95.94 Mo.upf
Ta 180.95 Ta.upf
ATOMIC_POSITIONS crystal
Ti 0.000 0.000 0.000
Mo 0.250 0.250 0.250
Mo 0.750 0.750 0.750
Ta 0.500 0.500 0.500
CELL_PARAMETERS angstrom
4.471 0.000 0.000
2.235 3.872 0.000
2.235 1.291 3.650
```


(5)
Compound: Mg2CoMo
Source: Alexandria
Functional: meta-GGA SCAN
Structure: PBEsol geometry Values from VASP.

Results
Relative energy among the computed polymorphs in meV per atom: 26
Crystal system: trigonal
Formation enthalpy at 0 K in eV per atom: 0.350

Geometry as Quantum ESPRESSO input:
```
&SYSTEM
  ibrav = 0, nat = 4, ntyp = 3
/
ATOMIC_SPECIES
Co 58.93 Co.upf
Mg 24.30 Mg.upf
Mo 95.94 Mo.upf
ATOMIC_POSITIONS crystal
Co 0.245 0.245 0.265
Mg 0.988 0.988 0.035
Mg 0.756 0.756 0.732
Mo 0.511 0.511 0.467
CELL_PARAMETERS angstrom
-2.436 0.191 1.447
-0.746 -2.063 1.802
3.318 3.732 7.882
```


(6)
Compound: CaBeAlOs2
Source: Alexandria
Functional: meta-GGA SCAN
Structure: PBEsol geometry Values from VASP.

Results
Crystal system: tetragonal
Formation enthalpy at 0 K in eV per atom: 0.899

Geometry as Quantum ESPRESSO input:
```
&SYSTEM
  ibrav = 0, nat = 5, ntyp = 4
/
ATOMIC_SPECIES
Al 26.98 Al.upf
Ca 40.08 Ca.upf
Os 190.23 Os.upf
Be 9.01 Be.upf
ATOMIC_POSITIONS crystal
Al 0.000 0.000 0.000
Ca 0.500 0.500 0.500
Os 0.000 0.000 0.500
Os 0.000 0.500 0.000
Be 0.500 0.000 0.000
CELL_PARAMETERS angstrom
-4.133 0.484 1.082
-1.122 -3.429 -2.753
0.553 -2.928 3.423
```


(7)
Compound: KRuBr2
Source: Alexandria
Functional: meta-GGA SCAN
Structure: PBEsol geometry Values from VASP.

Results
Crystal system: tetragonal
Raw formation energy in eV per atom: -0.218

Geometry as Quantum ESPRESSO input:
```
&SYSTEM
  ibrav = 0, nat = 4, ntyp = 3
/
ATOMIC_SPECIES
K 39.10 K.upf
Br 79.90 Br.upf
Ru 101.07 Ru.upf
ATOMIC_POSITIONS crystal
K 0.000 0.000 0.463
Br 0.500 0.500 0.252
Br 0.000 0.000 0.858
Ru 0.500 0.500 0.927
CELL_PARAMETERS angstrom
3.638 0.000 0.000
0.000 3.638 0.000
0.000 0.000 7.890
```


(8)
Compound: TcIr3
Source: Alexandria
Functional: meta-GGA SCAN
Structure: PBEsol geometry Values from VASP.

Results
Crystal system: orthorhombic
Formation enthalpy at 0 K in eV per atom: -0.158

Geometry as Quantum ESPRESSO input:
```
&SYSTEM
  ibrav = 0, nat = 4, ntyp = 2
/
ATOMIC_SPECIES
Ir 192.22 Ir.upf
Tc 98.00 Tc.upf
ATOMIC_POSITIONS crystal
Ir 0.500 0.000 0.500
Ir 0.000 0.000 0.000
Ir 0.500 0.500 0.000
Tc 0.000 0.500 0.500
CELL_PARAMETERS angstrom
-0.643 -2.298 -1.261
4.379 -0.322 -1.646
-0.292 -2.189 4.137
```


(9)
Compound: PdPtCl2
Source: Alexandria
Functional: meta-GGA SCAN
Structure: PBEsol geometry Values from VASP.

Results
Relative energy among the computed polymorphs in meV per atom: 0
Crystal system: trigonal
Raw formation energy in eV per atom: 0.131

Geometry as Quantum ESPRESSO input:
```
&SYSTEM
  ibrav = 0, nat = 4, ntyp = 3
/
ATOMIC_SPECIES
Cl 35.45 Cl.upf
Pt 195.08 Pt.upf
Pd 106.42 Pd.upf
ATOMIC_POSITIONS crystal
Cl 0.907 0.907 0.278
Cl 0.093 0.093 0.722
Pt 0.000 0.000 0.000
Pd 0.500 0.500 0.500
CELL_PARAMETERS angstrom
3.135 0.000 0.000
1.568 2.715 0.000
1.568 0.905 8.136
```


(10)
Compound: NaMoOF2
Source: Alexandria
Functional: meta-GGA SCAN
Structure: PBEsol geometry Values from VASP.

Results
Crystal system: tetragonal
Raw formation energy in eV per atom: -2.034

Geometry as Quantum ESPRESSO input:
```
&SYSTEM
  ibrav = 0, nat = 5, ntyp = 4
/
ATOMIC_SPECIES
F 19.00 F.upf
Mo 95.94 Mo.upf
O 16.00 O.upf
Na 22.99 Na.upf
ATOMIC_POSITIONS crystal
F 0.000 0.000 0.500
F 0.000 0.500 0.000
Mo 0.000 0.000 0.000
O 0.500 0.000 0.000
Na 0.500 0.500 0.500
CELL_PARAMETERS angstrom
3.811 0.000 0.000
0.000 4.192 0.000
0.000 0.000 4.192
```


(11)
Compound: RbLiH12Se3N4
Source: Alexandria
Functional: meta-GGA SCAN
Structure: PBEsol geometry Values from VASP.

Results
Crystal system: monoclinic

Geometry as Quantum ESPRESSO input:
```
&SYSTEM
  ibrav = 0, nat = 84, ntyp = 5
/
ATOMIC_SPECIES
H 1.01 H.upf
N 14.01 N.upf
Se 78.96 Se.upf
Rb 85.47 Rb.upf
Li 6.94 Li.upf
ATOMIC_POSITIONS crystal
H 0.172 0.617 0.341
H 0.028 0.616 0.579
H 0.368 0.209 0.999
H 0.851 0.897 0.145
H 0.632 0.791 0.001
H 0.544 0.349 0.580
H 0.987 0.249 0.819
H 0.746 0.695 0.577
H 0.078 0.511 0.074
H 0.367 0.495 0.072
H 0.828 0.383 0.659
H 0.767 0.976 0.503
H 0.946 0.957 0.952
H 0.972 0.384 0.421
H 0.065 0.995 0.572
H 0.054 0.043 0.048
H 0.856 0.543 0.548
H 0.472 0.151 0.920
H 0.233 0.024 0.497
H 0.575 0.291 0.501
H 0.018 0.805 0.923
H 0.922 0.489 0.926
H 0.663 0.989 0.426
H 0.337 0.011 0.574
H 0.623 0.180 0.572
H 0.869 0.117 0.841
H 0.131 0.883 0.159
H 0.425 0.709 0.499
H 0.778 0.116 0.079
H 0.149 0.103 0.855
H 0.935 0.005 0.428
H 0.377 0.820 0.428
H 0.246 0.524 0.997
H 0.254 0.305 0.423
H 0.528 0.849 0.080
H 0.894 0.603 0.355
H 0.144 0.457 0.452
H 0.633 0.505 0.928
H 0.376 0.320 0.928
H 0.106 0.397 0.645
H 0.754 0.476 0.003
H 0.945 0.749 0.319
H 0.624 0.680 0.072
H 0.055 0.251 0.681
H 0.982 0.195 0.077
H 0.456 0.651 0.420
H 0.013 0.751 0.181
H 0.222 0.884 0.921
N 0.531 0.774 0.048
N 0.108 0.364 0.453
N 0.815 0.950 0.452
N 0.892 0.636 0.547
N 0.022 0.831 0.143
N 0.996 0.669 0.357
N 0.352 0.726 0.452
N 0.783 0.450 0.952
N 0.925 0.136 0.047
N 0.648 0.274 0.548
N 0.978 0.169 0.857
N 0.075 0.864 0.953
N 0.004 0.331 0.643
N 0.469 0.226 0.952
N 0.185 0.050 0.548
N 0.217 0.550 0.048
Se 0.434 0.918 0.273
Se 0.371 0.554 0.662
Se 0.413 0.054 0.162
Se 0.263 0.580 0.859
Se 0.701 0.920 0.641
Se 0.587 0.946 0.838
Se 0.625 0.582 0.227
Se 0.299 0.080 0.359
Se 0.737 0.420 0.141
Se 0.629 0.446 0.338
Se 0.566 0.082 0.727
Se 0.375 0.418 0.773
Rb 0.791 0.613 0.761
Rb 0.165 0.887 0.739
Rb 0.209 0.387 0.239
Rb 0.835 0.113 0.261
Li 0.993 0.744 0.453
Li 0.810 0.244 0.953
Li 0.190 0.756 0.047
Li 0.007 0.256 0.547
CELL_PARAMETERS angstrom
-0.283 3.371 -4.854
-7.813 -3.432 -5.533
-13.182 12.579 5.900
```


(12)
Compound: Ta2MoAs
Source: Alexandria
Functional: meta-GGA SCAN
Structure: PBEsol geometry Values from VASP.

Results
Crystal system: tetragonal
Formation enthalpy at 0 K in eV per atom: -0.175

Geometry as Quantum ESPRESSO input:
```
&SYSTEM
  ibrav = 0, nat = 4, ntyp = 3
/
ATOMIC_SPECIES
Ta 180.95 Ta.upf
As 74.92 As.upf
Mo 95.94 Mo.upf
ATOMIC_POSITIONS crystal
Ta 0.000 0.000 0.246
Ta 0.000 0.000 0.754
As 0.500 0.500 0.000
Mo 0.500 0.500 0.500
CELL_PARAMETERS angstrom
-1.750 -1.562 -2.381
1.748 -2.796 0.550
-3.927 -1.671 3.983
```


(13)
Compound: TaReSi4
Source: Alexandria
Functional: meta-GGA SCAN
Structure: PBEsol geometry Values from VASP.

Results
Crystal system: cubic
Raw formation energy in eV per atom: 0.449

Geometry as Quantum ESPRESSO input:
```
&SYSTEM
  ibrav = 0, nat = 6, ntyp = 3
/
ATOMIC_SPECIES
Si 28.09 Si.upf
Re 186.21 Re.upf
Ta 180.95 Ta.upf
ATOMIC_POSITIONS crystal
Si 0.375 0.875 0.375
Si 0.375 0.375 0.375
Si 0.875 0.375 0.375
Si 0.375 0.375 0.875
Re 0.000 0.000 0.000
Ta 0.750 0.750 0.750
CELL_PARAMETERS angstrom
4.816 0.000 0.000
2.408 4.171 0.000
2.408 1.390 3.932
```


(14)
Compound: LaPtSI2
Source: Alexandria
Functional: meta-GGA SCAN
Structure: PBEsol geometry Values from VASP.

Results
Crystal system: tetragonal
Raw formation energy in eV per atom: 0.132

Geometry as Quantum ESPRESSO input:
```
&SYSTEM
  ibrav = 0, nat = 5, ntyp = 4
/
ATOMIC_SPECIES
I 126.90 I.upf
Pt 195.08 Pt.upf
La 138.91 La.upf
S 32.06 S.upf
ATOMIC_POSITIONS crystal
I 0.000 0.000 0.500
I 0.000 0.500 0.000
Pt 0.500 0.000 0.000
La 0.000 0.000 0.000
S 0.500 0.500 0.500
CELL_PARAMETERS angstrom
-1.041 -3.084 -4.037
5.368 -2.946 0.867
-2.809 -4.004 3.783
```


(15)
Compound: MgMn2Ag
Source: Alexandria
Functional: meta-GGA SCAN
Structure: PBEsol geometry Values from VASP.

Results
Crystal system: cubic
Formation enthalpy at 0 K in eV per atom: -0.129

Geometry as Quantum ESPRESSO input:
```
&SYSTEM
  ibrav = 0, nat = 4, ntyp = 3
/
ATOMIC_SPECIES
Mn 54.94 Mn.upf
Ag 107.87 Ag.upf
Mg 24.30 Mg.upf
ATOMIC_POSITIONS crystal
Mn 0.000 0.000 0.000
Mn 0.750 0.750 0.750
Ag 0.500 0.500 0.500
Mg 0.250 0.250 0.250
CELL_PARAMETERS angstrom
-2.321 2.829 -2.467
-4.014 -1.118 -1.454
-3.579 1.965 1.674
```


(16)
Compound: Mg2AlIn
Source: Alexandria
Functional: meta-GGA SCAN
Structure: PBEsol geometry Values from VASP.

Results
Crystal system: trigonal
Formation enthalpy at 0 K in eV per atom: -0.027

Geometry as Quantum ESPRESSO input:
```
&SYSTEM
  ibrav = 0, nat = 4, ntyp = 3
/
ATOMIC_SPECIES
Al 26.98 Al.upf
In 114.82 In.upf
Mg 24.30 Mg.upf
ATOMIC_POSITIONS crystal
Al 0.000 0.000 0.000
In 0.500 0.500 0.500
Mg 0.253 0.253 0.240
Mg 0.747 0.747 0.760
CELL_PARAMETERS angstrom
-3.007 0.382 -1.053
-2.416 -1.532 1.455
-2.936 6.994 6.031
```


(17)
Compound: AsSe2
Source: Alexandria
Functional: meta-GGA SCAN
Structure: PBEsol geometry Values from VASP.

Results
Crystal system: tetragonal
Raw formation energy in eV per atom: 0.390

Geometry as Quantum ESPRESSO input:
```
&SYSTEM
  ibrav = 0, nat = 6, ntyp = 2
/
ATOMIC_SPECIES
Se 78.96 Se.upf
As 74.92 As.upf
ATOMIC_POSITIONS crystal
Se 0.573 0.573 0.146
Se 0.823 0.323 0.646
Se 0.427 0.427 0.854
Se 0.677 0.177 0.354
As 0.000 0.000 0.000
As 0.250 0.750 0.500
CELL_PARAMETERS angstrom
-0.127 3.433 -0.453
-3.140 -0.305 -1.433
-2.720 -0.495 10.252
```


(18)
Compound: BeZnTe2
Source: Alexandria
Functional: meta-GGA SCAN
Structure: PBEsol geometry Values from VASP.

Results
Relative energy among the computed polymorphs in meV per atom: 755
Crystal system: monoclinic
Raw formation energy in eV per atom: 0.296

Geometry as Quantum ESPRESSO input:
```
&SYSTEM
  ibrav = 0, nat = 4, ntyp = 3
/
ATOMIC_SPECIES
Zn 65.41 Zn.upf
Be 9.01 Be.upf
Te 127.60 Te.upf
ATOMIC_POSITIONS crystal
Zn 0.000 0.500 0.500
Be 0.000 0.000 0.000
Te 0.000 0.500 0.000
Te 0.000 0.000 0.500
CELL_PARAMETERS angstrom
-2.474 -0.473 1.958
2.131 -2.819 4.080
2.269 4.518 1.889
```


(19)
Compound: Sc2ZnTc
Source: Alexandria
Functional: meta-GGA SCAN
Structure: PBEsol geometry Values from VASP.

Results
Crystal system: tetragonal
Formation enthalpy at 0 K in eV per atom: -0.384

Geometry as Quantum ESPRESSO input:
```
&SYSTEM
  ibrav = 0, nat = 4, ntyp = 3
/
ATOMIC_SPECIES
Zn 65.41 Zn.upf
Sc 44.96 Sc.upf
Tc 98.00 Tc.upf
ATOMIC_POSITIONS crystal
Zn 0.500 0.500 0.500
Sc 0.000 0.000 0.767
Sc 0.000 0.000 0.233
Tc 0.500 0.500 0.000
CELL_PARAMETERS angstrom
3.287 0.000 0.000
0.000 3.287 0.000
0.000 0.000 6.357
```


(20)
Compound: YZn2Ir
Source: Alexandria
Functional: meta-GGA SCAN
Structure: PBEsol geometry Values from VASP.

Results
Crystal system: orthorhombic
Formation enthalpy at 0 K in eV per atom: -0.316

Geometry as Quantum ESPRESSO input:
```
&SYSTEM
  ibrav = 0, nat = 4, ntyp = 3
/
ATOMIC_SPECIES
Ir 192.22 Ir.upf
Zn 65.41 Zn.upf
Y 88.91 Y.upf
ATOMIC_POSITIONS crystal
Ir 0.500 0.500 0.000
Zn 0.000 0.000 0.204
Zn 0.000 0.000 0.796
Y 0.500 0.500 0.500
CELL_PARAMETERS angstrom
2.967 0.000 0.000
0.000 3.802 0.000
0.000 0.000 5.931
```


Looking at E_tot for the records above, in order, we have -34.12 -19.92 -16.60 -38.23 -15.18 -32.21 -20.74 -62.25 -29.60 -12.52 -8.23 -47.24 -29.17 -39.15 -18.34 -12.80 -19.73 -22.80 -19.65 -31.81 eV per atom.